# 1
Material: PrY4S4
Method: DFT, PBE
State: optimized geometry

abc: 5.514 6.816 6.818
angles: 80.60 66.15 66.14
Sites, in units of the cell vectors:
S  0.691  0.207  0.410
S  0.309  0.793  0.590
S  0.101  0.590  0.207
S  0.899  0.410  0.793
Y  0.195  0.198  0.412
Y  0.607  0.589  0.198
Y  0.393  0.411  0.802
Y  0.805  0.802  0.588
Pr  0.000  0.000  0.000

# 2
Material: Pr3Y2S8
Method: DFT, PBE
State: optimized geometry

abc: 6.928 8.178 8.111
angles: 120.27 108.00 90.00
Sites, in units of the cell vectors:
Pr  0.000  0.736  0.000
Pr  0.500  0.000  0.000
Pr  0.000  0.264  0.000
S  0.117  0.384  0.768
S  0.940  0.121  0.243
S  0.419  0.363  0.260
S  0.883  0.616  0.232
S  0.581  0.103  0.740
S  0.581  0.637  0.740
S  0.419  0.897  0.260
S  0.060  0.879  0.757
Y  0.654  0.737  0.474
Y  0.346  0.263  0.526

# 3
Material: Pr2YS3
Method: DFT, PBE
State: optimized geometry

abc: 6.992 6.992 7.035
angles: 99.52 99.52 120.13
Sites, in units of the cell vectors:
S  0.068  0.401  0.235
S  0.413  0.090  0.239
S  0.910  0.587  0.761
S  0.254  0.243  0.761
S  0.757  0.746  0.239
S  0.599  0.932  0.765
Pr  0.833  0.167  0.500
Pr  0.171  0.829  0.500
Pr  0.333  0.667  0.000
Pr  0.495  0.505  0.500
Y  0.667  0.333  0.000
Y  0.000  0.000  0.000

# 4
Material: Pr3Y5S8
Method: DFT, PBE
State: optimized geometry

abc: 7.945 7.945 8.022
angles: 60.32 60.32 60.00
Sites, in units of the cell vectors:
Pr  0.000  0.500  0.500
Pr  0.500  0.000  0.500
Pr  0.000  0.000  0.500
S  0.738  0.250  0.762
S  0.750  0.750  0.238
S  0.744  0.744  0.768
S  0.250  0.738  0.762
S  0.750  0.262  0.238
S  0.250  0.250  0.762
S  0.262  0.750  0.238
S  0.256  0.256  0.232
Y  0.000  0.000  0.000
Y  0.000  0.500  0.000
Y  0.500  0.000  0.000
Y  0.500  0.500  0.500
Y  0.500  0.500  0.000

# 5
Material: Pr2YS4
Method: DFT, PBE
State: optimized geometry

abc: 8.030 8.038 8.038
angles: 61.24 60.03 60.03
Sites, in units of the cell vectors:
S  0.254  0.255  0.236
S  0.251  0.745  0.245
S  0.749  0.255  0.755
S  0.759  0.745  0.245
S  0.746  0.745  0.764
S  0.241  0.255  0.755
S  0.746  0.264  0.245
S  0.254  0.736  0.755
Pr  0.000  0.000  0.000
Pr  0.500  0.000  0.500
Pr  0.000  0.500  0.500
Pr  0.000  0.000  0.500
Y  0.000  0.500  0.000
Y  0.500  0.500  0.000

energy above the lowest structure with this stoichiometry	0.00	eV per formula unit

# 6
Material: Pr4Y3S8
Method: DFT, PBE
State: optimized geometry

abc: 7.867 7.867 8.695
angles: 63.10 63.10 60.00
Sites, in units of the cell vectors:
Pr  0.000  0.000  0.000
Pr  0.500  0.500  0.500
Pr  0.649  0.649  0.054
Pr  0.351  0.351  0.946
S  0.749  0.749  0.264
S  0.237  0.749  0.264
S  0.251  0.251  0.736
S  0.749  0.237  0.264
S  0.229  0.229  0.313
S  0.771  0.771  0.687
S  0.251  0.763  0.736
S  0.763  0.251  0.736
Y  0.500  0.000  0.500
Y  0.000  0.000  0.500
Y  0.000  0.500  0.500

energy above the lowest structure with this stoichiometry	3.12	eV per formula unit

# 7
Material: Pr2YZnS5
Method: DFT, PBE
State: optimized geometry

abc: 3.895 8.734 12.064
angles: 90.00 90.00 102.88
Sites, in units of the cell vectors:
S  0.292  0.584  0.676
S  0.317  0.633  0.357
S  0.493  0.986  0.770
S  0.507  0.014  0.270
S  0.645  0.290  0.506
S  0.708  0.416  0.176
S  0.355  0.710  0.006
S  0.962  0.925  0.547
S  0.683  0.367  0.857
S  0.038  0.075  0.047
Zn  0.545  0.091  0.943
Zn  0.455  0.909  0.443
Y  0.196  0.393  0.018
Y  0.804  0.607  0.518
Pr  0.131  0.263  0.322
Pr  0.869  0.737  0.822
Pr  0.885  0.770  0.185
Pr  0.115  0.230  0.685

# 8
Material: Pr3ZnS6
Method: DFT, PBE
State: optimized geometry

abc: 6.377 9.058 9.058
angles: 102.23 90.00 90.00
Sites, in units of the cell vectors:
Pr  0.477  0.286  0.071
Pr  0.901  0.616  0.384
Pr  0.977  0.714  0.929
Pr  0.401  0.384  0.616
Pr  0.477  0.929  0.714
Pr  0.977  0.071  0.286
S  0.691  0.572  0.097
S  0.192  0.676  0.643
S  0.692  0.643  0.676
S  0.166  0.037  0.963
S  0.692  0.324  0.357
S  0.192  0.357  0.324
S  0.666  0.963  0.037
S  0.191  0.428  0.903
S  0.670  0.219  0.781
S  0.191  0.097  0.572
S  0.691  0.903  0.428
S  0.170  0.781  0.219
Zn  0.528  0.806  0.194
Zn  0.028  0.194  0.806

# 9
Material: Pr2ZnS
Method: DFT, PBE
State: optimized geometry

abc: 4.099 4.099 7.710
angles: 74.59 74.59 60.00
Sites, in units of the cell vectors:
S  0.000  0.000  0.000
Pr  0.742  0.742  0.773
Pr  0.258  0.258  0.227
Zn  0.500  0.500  0.500

energy above the lowest structure with this stoichiometry	0.15	eV per formula unit

# 10
Material: Pr2ZnS
Method: DFT, PBE
State: optimized geometry

abc: 4.025 4.025 8.030
angles: 75.48 75.48 60.00
Sites, in units of the cell vectors:
Zn  0.499  0.499  0.502
Pr  0.073  0.073  0.782
Pr  0.260  0.260  0.221
S  0.668  0.668  0.995

energy above the lowest structure with this stoichiometry	0.51	eV per formula unit

# 11
Material: Pr3Zn5S12
Method: DFT, PBE
State: optimized geometry

abc: 13.242 13.242 13.242
angles: 109.47 109.47 109.47
Sites, in units of the cell vectors:
S  0.968  0.378  0.291
S  0.209  0.678  0.088
S  0.590  0.622  0.412
S  0.532  0.209  0.122
S  0.122  0.412  0.090
S  0.588  0.878  0.410
S  0.088  0.178  0.209
S  0.709  0.588  0.178
S  0.410  0.378  0.588
S  0.178  0.088  0.709
S  0.822  0.912  0.291
S  0.912  0.090  0.622
S  0.968  0.590  0.178
S  0.590  0.968  0.678
S  0.412  0.291  0.322
S  0.209  0.532  0.622
S  0.622  0.032  0.209
S  0.910  0.822  0.532
S  0.291  0.412  0.822
S  0.410  0.032  0.322
S  0.912  0.822  0.791
S  0.678  0.209  0.588
S  0.322  0.791  0.412
S  0.378  0.968  0.791
S  0.878  0.588  0.910
S  0.468  0.791  0.878
S  0.322  0.532  0.410
S  0.622  0.590  0.912
S  0.709  0.122  0.032
S  0.088  0.910  0.378
S  0.468  0.678  0.090
S  0.090  0.178  0.468
S  0.791  0.468  0.378
S  0.588  0.709  0.678
S  0.822  0.910  0.032
S  0.878  0.291  0.468
S  0.291  0.878  0.968
S  0.032  0.410  0.822
S  0.178  0.090  0.968
S  0.090  0.912  0.122
S  0.412  0.122  0.590
S  0.532  0.322  0.910
S  0.791  0.322  0.912
S  0.122  0.709  0.532
S  0.378  0.410  0.088
S  0.910  0.088  0.878
S  0.678  0.468  0.590
S  0.032  0.622  0.709
Zn  0.000  0.500  0.000
Zn  0.875  0.625  0.750
Zn  0.000  0.500  0.500
Zn  0.500  0.000  0.000
Zn  0.125  0.750  0.375
Zn  0.250  0.375  0.625
Zn  0.625  0.875  0.250
Zn  0.000  0.000  0.500
Zn  0.375  0.125  0.750
Zn  0.750  0.125  0.875
Zn  0.375  0.250  0.125
Zn  0.500  0.500  0.000
Zn  0.875  0.250  0.625
Zn  0.125  0.375  0.250
Zn  0.750  0.625  0.375
Zn  0.250  0.875  0.125
Zn  0.500  0.500  0.500
Zn  0.000  0.000  0.000
Zn  0.500  0.000  0.500
Zn  0.625  0.750  0.875
Pr  0.750  0.375  0.125
Pr  0.875  0.750  0.125
Pr  0.375  0.625  0.250
Pr  0.875  0.125  0.250
Pr  0.375  0.750  0.625
Pr  0.750  0.875  0.625
Pr  0.125  0.250  0.875
Pr  0.125  0.875  0.750
Pr  0.250  0.625  0.875
Pr  0.625  0.250  0.375
Pr  0.625  0.375  0.750
Pr  0.250  0.125  0.375

# 12
Material: Pr2ZnS
Method: DFT, PBE
State: optimized geometry

abc: 4.273 4.037 12.149
angles: 99.56 90.00 90.00
Sites, in units of the cell vectors:
Pr  0.750  0.689  0.378
Pr  0.750  0.927  0.853
Pr  0.250  0.311  0.622
Pr  0.250  0.073  0.147
Zn  0.750  0.536  0.072
Zn  0.250  0.464  0.928
S  0.250  0.192  0.385
S  0.750  0.808  0.615

energy above the lowest structure with this stoichiometry	0.00	eV per formula unit

Computed values of formation energy from raw total energies (unit: eV per atom) for the preceding records, in sequence: -1.78; -1.80; -2.02; -2.00; -2.00; -1.81; -1.76; -1.60; -1.10; -1.01; -0.87; -1.14.